No. 1
YTl3H: optimized geometry, PBE.

**Density of states at the Fermi level**: 2.947 states/eV/f.u.
**Symmetry**: Pm-3m
**DFT total energy**: -3.3239 eV/atom
**Magnetic moment**: 0.00 μB per atom

a = 4.8404 Å, b = 4.8404 Å, c = 4.8404 Å
α = 90.00°, β = 90.00°, γ = 90.00°
Last column: nearest neighbours and their distance in Å.
Fractional coordinates of all 5 atoms:
Tl1 0.0000 0.5000 0.0000  2 H 2.42
Tl2 0.5000 0.0000 0.0000  2 H 2.42
Tl3 0.0000 0.0000 0.5000  2 H 2.42
Y1 0.5000 0.5000 0.5000  12 Tl 3.42
H1 0.0000 0.0000 0.0000  6 Tl 2.42



No. 2
Y3TlH: optimized geometry, PBE.

**Density of states at the Fermi level**: 5.054 states/eV/f.u.
**Energy relative to the lowest polymorph listed for this composition**: 21 meV per atom
**Symmetry**: P2_1/m
**DFT total energy**: -5.3099 eV/atom
**Magnetic moment**: 0.00 μB per atom

a = 3.6103 Å, b = 6.6437 Å, c = 10.3294 Å
α = 99.23°, β = 90.00°, γ = 90.00°
Last column: nearest neighbours and their distance in Å.
Fractional coordinates of all 10 atoms:
Y1 0.2500 0.7728 0.0926  1 H 2.33
Y2 0.2500 0.4006 0.6344  2 H 2.45
Y3 0.7500 0.0825 0.3626  2 H 2.47
Y4 0.7500 0.2272 0.9074  1 H 2.33
Y5 0.2500 0.9175 0.6374  2 H 2.47
Y6 0.7500 0.5994 0.3656  2 H 2.45
H1 0.7500 0.1730 0.6791  5 Y 2.33-2.47
H2 0.2500 0.8270 0.3209  5 Y 2.33-2.47
Tl1 0.7500 0.7087 0.8388  8 Y 3.16-3.40
Tl2 0.2500 0.2913 0.1612  8 Y 3.16-3.40



No. 3
Y2TlH: optimized geometry, PBE.

**Density of states at the Fermi level**: 1.846 states/eV/f.u.
**Energy relative to the lowest polymorph listed for this composition**: 0 meV per atom
**Symmetry**: P4/nmm
**DFT total energy**: -5.1044 eV/atom
**Magnetic moment**: 0.00 μB per atom

a = 4.5530 Å, b = 4.5530 Å, c = 8.5088 Å
α = 90.01°, β = 90.01°, γ = 90.00°
Last column: nearest neighbours and their distance in Å.
Fractional coordinates of all 8 atoms:
Tl1 0.2502 0.2502 0.7805  1 H 3.09, 9 Y 3.15-3.30
Tl2 0.7498 0.7498 0.2195  1 H 3.09, 9 Y 3.15-3.30
H1 0.7501 0.7501 0.5821  5 Y 2.27-2.38
H2 0.2499 0.2499 0.4179  5 Y 2.27-2.38
Y1 0.7500 0.2500 0.5000  4 H 2.38
Y2 0.7502 0.7502 0.8494  1 H 2.27
Y3 0.2498 0.2498 0.1506  1 H 2.27
Y4 0.2500 0.7500 0.5000  4 H 2.38



No. 4
Y2TlH2: optimized geometry, PBE.

**Density of states at the Fermi level**: 2.636 states/eV/f.u.
**Energy relative to the lowest polymorph listed for this composition**: 97 meV per atom
**Symmetry**: C2/c
**DFT total energy**: -4.9229 eV/atom
**Magnetic moment**: 0.00 μB per atom

a = 5.8770 Å, b = 5.8770 Å, c = 6.4524 Å
α = 104.82°, β = 104.82°, γ = 116.12°
Last column: nearest neighbours and their distance in Å.
Fractional coordinates of all 10 atoms:
H1 0.5042 0.2548 0.0096  4 Y 2.25
H2 0.7452 0.4958 0.4904  4 Y 2.25
H3 0.2548 0.5042 0.5096  4 Y 2.25
H4 0.4958 0.7452 0.9904  4 Y 2.25
Y1 0.1953 0.8047 0.7500  4 H 2.25
Y2 0.8047 0.1953 0.2500  4 H 2.25
Y3 0.5554 0.4446 0.7500  4 H 2.25
Y4 0.4446 0.5554 0.2500  4 H 2.25
Tl1 0.8749 0.1251 0.7500  6 Y 3.19-3.30, 8 H 3.28-3.39
Tl2 0.1251 0.8749 0.2500  6 Y 3.19-3.30, 8 H 3.28-3.39



No. 5
YTlH: optimized geometry, PBE.

**Density of states at the Fermi level**: 2.027 states/eV/f.u.
**Energy relative to the lowest polymorph listed for this composition**: 53 meV per atom
**Symmetry**: C2/m
**DFT total energy**: -4.4416 eV/atom
**Magnetic moment**: 0.00 μB per atom

a = 3.6994 Å, b = 6.3868 Å, c = 6.4797 Å
α = 120.42°, β = 106.59°, γ = 90.00°
Last column: nearest neighbours and their distance in Å.
Fractional coordinates of all 6 atoms:
Tl1 0.5206 0.7779 0.0412  2 Tl 3.14-3.31, 3 H 3.17-3.30, 5 Y 3.24-3.42
Tl2 0.4794 0.2221 0.9588  2 Tl 3.14-3.31, 3 H 3.17-3.30, 5 Y 3.24-3.42
H1 0.2147 0.3545 0.4294  3 Y 2.12-2.14
H2 0.7853 0.6455 0.5706  3 Y 2.12-2.14
Y1 0.7842 0.3095 0.5685  3 H 2.12-2.14
Y2 0.2158 0.6905 0.4315  3 H 2.12-2.14



No. 6
Y2TlH: optimized geometry, PBE.

**Density of states at the Fermi level**: 1.161 states/eV/f.u.
**Energy relative to the lowest polymorph listed for this composition**: 423 meV per atom
**Symmetry**: Fm-3m
**DFT total energy**: -4.6818 eV/atom
**Magnetic moment**: 0.00 μB per atom

a = 5.1182 Å, b = 5.1182 Å, c = 5.1182 Å
α = 60.00°, β = 60.00°, γ = 60.00°
Last column: nearest neighbours and their distance in Å.
Fractional coordinates of all 4 atoms:
H1 0.0000 0.0000 0.0000  8 Y 3.13
Y1 0.2500 0.2500 0.2500  4 Tl 3.13, 4 H 3.13
Y2 0.7500 0.7500 0.7500  4 H 3.13, 4 Tl 3.13
Tl1 0.5000 0.5000 0.5000  8 Y 3.13



No. 7
Y2TlH: optimized geometry, PBE.

**Density of states at the Fermi level**: 2.978 states/eV/f.u.
**Energy relative to the lowest polymorph listed for this composition**: 109 meV per atom
**Symmetry**: I-42d
**DFT total energy**: -4.9951 eV/atom
**Magnetic moment**: 0.00 μB per atom

a = 6.9538 Å, b = 6.9538 Å, c = 6.1912 Å
α = 55.83°, β = 55.83°, γ = 90.00°
Last column: nearest neighbours and their distance in Å.
Fractional coordinates of all 8 atoms:
Y1 0.5259 0.1250 0.2500  2 H 2.24
Y2 0.2241 0.6250 0.2500  2 H 2.24
Y3 0.8750 0.7759 0.7500  2 H 2.24
Y4 0.3750 0.4741 0.7500  2 H 2.24
H1 0.2500 0.7500 0.5000  4 Y 2.24
H2 0.5000 0.5000 0.0000  4 Y 2.24
Tl1 0.7500 0.2500 0.5000  8 Y 3.13-3.48
Tl2 0.0000 0.0000 0.0000  8 Y 3.13-3.48



No. 8
Y3TlH3: optimized geometry, PBE.

**Density of states at the Fermi level**: 3.149 states/eV/f.u.
**Symmetry**: R-3
**DFT total energy**: -5.0246 eV/atom
**Magnetic moment**: 0.00 μB per atom

a = 6.4591 Å, b = 6.4591 Å, c = 8.4088 Å
α = 67.41°, β = 67.41°, γ = 60.00°
Last column: nearest neighbours and their distance in Å.
Fractional coordinates of all 14 atoms:
H1 0.2039 0.8670 0.3933  4 Y 2.20-2.25
H2 0.4642 0.7961 0.6067  4 Y 2.20-2.25
H3 0.7961 0.1330 0.6067  4 Y 2.20-2.25
H4 0.8670 0.5358 0.3933  4 Y 2.20-2.25
H5 0.1330 0.4642 0.6067  4 Y 2.20-2.25
H6 0.5358 0.2039 0.3933  4 Y 2.20-2.25
Y1 0.2324 0.5574 0.3141  4 H 2.20-2.25
Y2 0.1038 0.7676 0.6859  4 H 2.20-2.25
Y3 0.4426 0.1038 0.6859  4 H 2.20-2.25
Y4 0.8962 0.2324 0.3141  4 H 2.20-2.25
Y5 0.5574 0.8962 0.3141  4 H 2.20-2.25
Y6 0.7676 0.4426 0.6859  4 H 2.20-2.25
Tl1 0.6667 0.6667 0.0000  6 Y 3.19
Tl2 0.3333 0.3333 0.0000  6 Y 3.19



No. 9
Y3TlH: optimized geometry, PBE.

**Density of states at the Fermi level**: 5.647 states/eV/f.u.
**Energy relative to the lowest polymorph listed for this composition**: 0 meV per atom
**Symmetry**: Pm-3m
**DFT total energy**: -5.3306 eV/atom
**Magnetic moment**: 0.35 μB per atom

a = 4.8637 Å, b = 4.8637 Å, c = 4.8637 Å
α = 90.00°, β = 90.00°, γ = 90.00°
Last column: nearest neighbours and their distance in Å.
Fractional coordinates of all 5 atoms:
Y1 0.0000 0.5000 0.0000  2 H 2.43
Y2 0.5000 0.0000 0.0000  2 H 2.43
Y3 0.0000 0.0000 0.5000  2 H 2.43
H1 0.0000 0.0000 0.0000  6 Y 2.43
Tl1 0.5000 0.5000 0.5000  12 Y 3.44



No. 10
Y2TlH2: optimized geometry, PBE.

**Density of states at the Fermi level**: 1.386 states/eV/f.u.
**Energy relative to the lowest polymorph listed for this composition**: 0 meV per atom
**Symmetry**: I4/mmm
**DFT total energy**: -5.0194 eV/atom
**Magnetic moment**: 0.00 μB per atom

a = 3.8175 Å, b = 3.8175 Å, c = 6.6198 Å
α = 73.24°, β = 73.24°, γ = 90.00°
Last column: nearest neighbours and their distance in Å.
Fractional coordinates of all 5 atoms:
Y1 0.6522 0.6522 0.6957  4 H 2.25
Y2 0.3478 0.3478 0.3043  4 H 2.25
Tl1 0.0000 0.0000 0.0000  8 Y 3.27, 8 H 3.57
H1 0.7500 0.2500 0.5000  4 Y 2.25
H2 0.2500 0.7500 0.5000  4 Y 2.25



No. 11
Y6Tl2H: optimized geometry, PBE.

**Density of states at the Fermi level**: 10.545 states/eV/f.u.
**Symmetry**: P2_1/c
**DFT total energy**: -5.4083 eV/atom
**Magnetic moment**: 0.30 μB per atom

a = 6.4935 Å, b = 8.0412 Å, c = 9.5816 Å
α = 90.00°, β = 89.38°, γ = 90.00°
Last column: nearest neighbours and their distance in Å.
Fractional coordinates of all 18 atoms:
Y1 0.8580 0.6837 0.9479  1 H 2.79, 2 Tl 3.10-3.11
Y2 0.6420 0.1837 0.5521  1 H 2.79, 2 Tl 3.10-3.11
Y3 0.3545 0.8107 0.0503  1 H 2.71
Y4 0.1420 0.3163 0.0521  1 H 2.79, 2 Tl 3.10-3.11
Y5 0.8822 0.9727 0.2508  1 H 2.52
Y6 0.6455 0.1893 0.9497  1 H 2.71
Y7 0.8545 0.6893 0.5503  1 H 2.71
Y8 0.6178 0.4727 0.2492  1 H 2.52
Y9 0.1455 0.3107 0.4497  1 H 2.71
Y10 0.1178 0.0273 0.7492  1 H 2.52
Y11 0.3580 0.8163 0.4479  1 H 2.79, 2 Tl 3.10-3.11
Y12 0.3822 0.5273 0.7508  1 H 2.52
H1 0.5000 0.5000 0.0000  6 Y 2.52-2.79
H2 0.0000 0.0000 0.5000  6 Y 2.52-2.79
Tl1 0.4278 0.1149 0.2472  8 Y 3.09-3.30
Tl2 0.9278 0.3851 0.7472  8 Y 3.09-3.30
Tl3 0.0722 0.6149 0.2528  8 Y 3.09-3.30
Tl4 0.5722 0.8851 0.7528  8 Y 3.09-3.30



No. 12
YTlH: optimized geometry, PBE.

**Density of states at the Fermi level**: 1.060 states/eV/f.u.
**Energy relative to the lowest polymorph listed for this composition**: 0 meV per atom
**Symmetry**: P-6m2
**DFT total energy**: -4.4942 eV/atom
**Magnetic moment**: 0.00 μB per atom

a = 5.3362 Å, b = 3.6368 Å, c = 3.6368 Å
α = 120.00°, β = 90.00°, γ = 90.00°
Last column: nearest neighbours and their distance in Å.
Fractional coordinates of all 3 atoms:
Tl1 0.6666 0.6667 0.3333  6 H 3.39-3.40, 6 Y 3.40, 6 Tl 3.64
H1 0.1668 0.3333 0.6667  3 Y 2.10
Y1 0.1666 0.0000 0.0000  3 H 2.10